[1]
The following is a PBE calculation of an optimized crystal structure of CsAg2Se, from Alexandria via LeMat-Bulk.

Summary:
Its uncorrected energy is -2.310 eV per atom.

a = 7.6224 Å, b = 7.6224 Å, c = 7.6224 Å
α = 90.00°, β = 90.00°, γ = 90.00°
Space group Fm-3m (No. 225)
Asymmetric unit:
Cs (0.0000, 0.0000, 0.0000)
Ag (0.2500, 0.2500, 0.2500)
Se (0.0000, 0.0000, 0.5000)

[2]
The following is a PBE calculation of an optimized crystal structure of CsAgSe4, from Alexandria via LeMat-Bulk.

Summary:
Its uncorrected energy is -3.350 eV per atom.

a = 5.9092 Å, b = 9.4168 Å, c = 14.4374 Å
α = 90.00°, β = 90.00°, γ = 90.00°
Space group P2_12_12_1 (No. 19)
Asymmetric unit:
Cs (0.1756, 0.0625, 0.3321)
Ag (0.0441, 0.1272, 0.0586)
Se (0.0847, 0.5808, 0.9312)
Se (0.1212, 0.6997, 0.6064)
Se (0.1442, 0.3716, 0.8366)
Se (0.1955, 0.8681, 0.0948)

[3]
The following is a PBE calculation of an optimized crystal structure of CsAg4Se2, from Alexandria via LeMat-Bulk.

Summary:
Its uncorrected energy is -2.991 eV per atom. The calculation puts the energy above the most stable polymorph in this dataset at 83.7 meV/atom.

a = 4.6459 Å, b = 4.6459 Å, c = 29.0067 Å
α = 90.00°, β = 90.00°, γ = 120.00°
Space group R-3m (No. 166, hexagonal axes)
Asymmetric unit:
Cs (0.0000, 0.0000, 0.0000)
Ag (0.0000, 0.0000, 0.1523)
Ag (0.0000, 0.0000, 0.4475)
Se (0.0000, 0.0000, 0.2482)